The following is a GGA-PBEsol calculation of a relaxed MnIr2Pt crystal, from Alexandria via LeMat-Bulk.

Raw total energy in eV/atom: -9.005

Cell: 2.7216 4.4781 5.3188 Å, 114.90 104.82 90.00°
Closest atoms and distances in Å follow each position.
Fractional positions:
Ir: 0.7737 0.7737 0.5475  2 Mn 2.50, 6 Ir 2.66-2.72
Ir: 0.2263 0.2263 0.4525  2 Mn 2.50, 6 Ir 2.66-2.72
Mn: 0.5000 0.0000 0.0000  4 Ir 2.50, 4 Pt 2.62, 2 Mn 2.72
Pt: 0.0000 0.5000 0.0000  4 Mn 2.62, 2 Pt 2.72, 4 Ir 2.88


The following is a GGA-PBEsol calculation of a relaxed MnIrPt4 crystal, from Alexandria via LeMat-Bulk.

Raw total energy in eV/atom: -7.525

Cell: 5.1292 5.1292 5.1292 Å, 60.00 60.00 60.00°
Closest atoms and distances in Å follow each position.
Fractional positions:
Ir: 0.7500 0.7500 0.7500  12 Pt 3.01, 4 Mn 3.14
Mn: 0.0000 0.0000 0.0000  12 Pt 3.01, 4 Ir 3.14
Pt: 0.3754 0.3754 0.3754  6 Pt 2.56-2.57
Pt: 0.3754 0.3754 0.8737  6 Pt 2.56-2.57
Pt: 0.8737 0.3754 0.3754  6 Pt 2.56-2.57
Pt: 0.3754 0.8737 0.3754  6 Pt 2.56-2.57


The following is a GGA-PBEsol calculation of a relaxed MnIr2Pt crystal, from Alexandria via LeMat-Bulk.

Raw total energy in eV/atom: -9.200

Cell: 3.7952 3.7952 4.6695 Å, 113.98 113.98 90.00°
Closest atoms and distances in Å follow each position.
Fractional positions:
Mn: 0.5000 0.5000 0.0000  8 Ir 2.68-2.69, 4 Pt 2.69
Pt: 0.7500 0.2500 0.5000  8 Ir 2.68-2.69, 4 Mn 2.69
Ir: 0.0000 0.0000 0.0000  4 Mn 2.68, 4 Ir 2.69, 4 Pt 2.69
Ir: 0.2500 0.7500 0.5000  4 Pt 2.68, 4 Ir 2.69, 4 Mn 2.69


The following is a GGA-PBEsol calculation of a relaxed RbMn2Ir crystal, from Alexandria via LeMat-Bulk.

Raw total energy in eV/atom: -6.320

Cell: 4.6888 4.6888 4.6888 Å, 60.00 60.00 60.00°
Closest atoms and distances in Å follow each position.
Fractional positions:
Mn: 0.2500 0.2500 0.2500  4 Rb 2.87, 4 Ir 2.87
Mn: 0.7500 0.7500 0.7500  4 Ir 2.87, 4 Rb 2.87
Ir: 0.5000 0.5000 0.5000  8 Mn 2.87
Rb: 0.0000 0.0000 0.0000  8 Mn 2.87


The following is a GGA-PBEsol calculation of a relaxed Rb3MnIr crystal, from Alexandria via LeMat-Bulk.

Raw total energy in eV/atom: -3.139

Cell: 6.1825 6.1825 6.1825 Å, 90.00 90.00 90.00°
Closest atoms and distances in Å follow each position.
Fractional positions:
Mn: 0.5000 0.5000 0.5000  12 Rb 4.37
Ir: 0.0000 0.0000 0.0000  6 Rb 3.09
Rb: 0.0000 0.5000 0.0000  2 Ir 3.09
Rb: 0.0000 0.0000 0.5000  2 Ir 3.09
Rb: 0.5000 0.0000 0.0000  2 Ir 3.09


The following is a GGA-PBEsol calculation of a relaxed MnReIr2 crystal, from Alexandria via LeMat-Bulk.

Raw total energy in eV/atom: -10.337

Cell: 4.3121 4.3121 4.3121 Å, 60.00 60.00 60.00°
Closest atoms and distances in Å follow each position.
Fractional positions:
Ir: 0.2500 0.2500 0.2500  4 Mn 2.64, 4 Re 2.64
Ir: 0.7500 0.7500 0.7500  4 Mn 2.64, 4 Re 2.64
Mn: 0.0000 0.0000 0.0000  8 Ir 2.64
Re: 0.5000 0.5000 0.5000  8 Ir 2.64


Ordered magnetization results: 0.76; 0.60; 0.68; 2.16; 1.01; 0.72; unit μB per atom.
Ordered formation energy from the elements results: 0.4; 2.3; -0.4; 5.1; 7.0; 1.4; unit eV/f.u..
Ordered N(E_F) results: 1.034; 1.588; 0.846; 0.708; 1.292; 1.824; unit states/eV/atom.